(1)
Below is crystalline NpNb2Ir at its relaxed geometry, with properties calculated at the PBE level.

Lattice parameters (Å, degrees): 4.665 4.665 4.665 60.00 60.00 60.00
Fractional coordinates of all 4 atoms:
1 Np 0.000 0.000 0.000
2 Ir 0.500 0.500 0.500
3 Nb 0.250 0.250 0.250
4 Nb 0.750 0.750 0.750

Summary:
Space-group type: Fm-3m (225)
Offset from the most stable computed form in eV/atom: 0.131
Calculated formation energy in eV/atom: 0.089
Volume in Å³/atom: 17.947

=====

(2)
Below is crystalline NpNbIr2 at its relaxed geometry, with properties calculated at the PBE level.

Lattice parameters (Å, degrees): 2.822 2.822 9.942 81.84 81.84 60.00
Fractional coordinates of all 4 atoms:
1 Nb 0.500 0.500 0.500
2 Np 0.000 0.000 0.000
3 Ir 0.756 0.756 0.733
4 Ir 0.244 0.244 0.267

Summary:
Space-group type: R-3m (166)
Offset from the most stable computed form in eV/atom: 0.173
Calculated formation energy in eV/atom: -0.159
Volume in Å³/atom: 16.913

=====

(3)
Below is crystalline NpNbIr2 at its relaxed geometry, with properties calculated at the PBE level.

Lattice parameters (Å, degrees): 4.021 4.133 4.133 90.00 90.00 90.00
Fractional coordinates of all 4 atoms:
1 Np 0.500 0.500 0.500
2 Ir 0.000 0.500 0.000
3 Ir 0.000 0.000 0.500
4 Nb 0.500 0.000 0.000

Summary:
Space-group type: P4/mmm (123)
Offset from the most stable computed form in eV/atom: 0.057
Calculated formation energy in eV/atom: -0.276
Volume in Å³/atom: 17.169

=====

(4)
Below is crystalline NpNb2Ir at its relaxed geometry, with properties calculated at the PBE level.

Lattice parameters (Å, degrees): 3.236 3.236 7.123 90.00 90.00 90.00
Fractional coordinates of all 4 atoms:
1 Ir 0.500 0.500 0.500
2 Nb 0.000 0.000 0.724
3 Np 0.500 0.500 0.000
4 Nb 0.000 0.000 0.276

Summary:
Space-group type: P4/mmm (123)
Offset from the most stable computed form in eV/atom: 0.132
Calculated formation energy in eV/atom: 0.090
Volume in Å³/atom: 18.648

=====

(5)
Below is crystalline NpTaNbIr at its relaxed geometry, with properties calculated at the PBE level.

Lattice parameters (Å, degrees): 4.664 4.664 4.664 60.00 60.00 60.00
Fractional coordinates of all 4 atoms:
1 Ta 0.250 0.250 0.250
2 Ir 0.000 0.000 0.000
3 Np 0.500 0.500 0.500
4 Nb 0.750 0.750 0.750

Summary:
Space-group type: F-43m (216)
Calculated formation energy in eV/atom: 0.129
Volume in Å³/atom: 17.931

=====

(6)
Below is crystalline NpTiNbIr at its relaxed geometry, with properties calculated at the PBE level.

Lattice parameters (Å, degrees): 4.621 4.621 4.621 60.00 60.00 60.00
Fractional coordinates of all 4 atoms:
1 Nb 0.750 0.750 0.750
2 Ti 0.250 0.250 0.250
3 Ir 0.000 0.000 0.000
4 Np 0.500 0.500 0.500

Summary:
Space-group type: F-43m (216)
Calculated formation energy in eV/atom: -0.002
Volume in Å³/atom: 17.438

=====

(7)
Below is crystalline NbIrO2 at its relaxed geometry, with properties calculated at the PBE level.

Lattice parameters (Å, degrees): 6.118 6.118 6.118 31.10 31.10 31.10
Fractional coordinates of all 4 atoms:
1 Nb 0.000 0.000 0.000
2 Ir 0.500 0.500 0.500
3 O 0.881 0.881 0.881
4 O 0.119 0.119 0.119

Summary:
Space-group type: R-3m (166)
Offset from the most stable computed form in eV/atom: 0.879
Volume in Å³/atom: 13.556
ΔE_f (raw) in eV per atom: -0.405

=====

(8)
Below is crystalline NbIrO2 at its relaxed geometry, with properties calculated at the PBE level.

Lattice parameters (Å, degrees): 7.006 7.006 7.006 23.25 23.25 23.25
Fractional coordinates of all 4 atoms:
1 Ir 0.000 0.000 0.000
2 O 0.099 0.099 0.099
3 Nb 0.500 0.500 0.500
4 O 0.901 0.901 0.901

Summary:
Space-group type: R-3m (166)
Offset from the most stable computed form in eV/atom: 0.000
Volume in Å³/atom: 11.757
ΔE_f (raw) in eV per atom: -1.284